(1)
{"formula": "PrEuAlPb", "functional": "PBE", "state": "optimized geometry", "cell": [[0.000, 3.884, 3.884], [3.884, 0.000, 3.884], [3.884, 3.884, 0.000]], "species": ["Pr", "Eu", "Al", "Pb"], "frac_coords": [[0.000, 0.000, 0.000], [0.500, 0.500, 0.500], [0.750, 0.750, 0.750], [0.250, 0.250, 0.250]], "density_g_cm3": 7.469, "delta_e_f_mev_per_atom": -350, "sg": "F-43m (216)"}



(2)
{"formula": "SrEuAlPb", "functional": "PBE", "state": "optimized geometry", "cell": [[0.000, 3.978, 3.978], [3.978, 0.000, 3.978], [3.978, 3.978, 0.000]], "species": ["Sr", "Eu", "Al", "Pb"], "frac_coords": [[0.000, 0.000, 0.000], [0.500, 0.500, 0.500], [0.250, 0.250, 0.250], [0.750, 0.750, 0.750]], "density_g_cm3": 6.251, "delta_e_f_mev_per_atom": -317, "sg": "F-43m (216)"}



(3)
{"formula": "EuYAlPb", "functional": "PBE", "state": "optimized geometry", "cell": [[0.000, 3.811, 3.811], [3.811, 0.000, 3.811], [3.811, 3.811, 0.000]], "species": ["Eu", "Y", "Al", "Pb"], "frac_coords": [[0.000, 0.000, 0.000], [0.500, 0.500, 0.500], [0.250, 0.250, 0.250], [0.750, 0.750, 0.750]], "density_g_cm3": 7.125, "delta_e_f_mev_per_atom": -344, "sg": "F-43m (216)"}



(4)
{"formula": "EuAl2Pd", "functional": "PBE", "state": "optimized geometry", "cell": [[2.161, 1.248, 5.510], [-2.161, 1.248, 5.510], [0.000, -2.495, 5.510]], "species": ["Eu", "Al", "Al", "Pd"], "frac_coords": [[0.000, 0.000, 0.000], [0.202, 0.202, 0.202], [0.798, 0.798, 0.798], [0.500, 0.500, 0.500]], "density_g_cm3": 5.820, "delta_e_f_mev_per_atom": -598, "sg": "R-3m (166)"}



(5)
{"formula": "EuAl2Pd", "functional": "PBE", "state": "optimized geometry", "cell": [[3.229, 0.000, 0.000], [0.000, 3.229, 0.000], [0.000, 0.000, 7.573]], "species": ["Eu", "Al", "Al", "Pd"], "frac_coords": [[0.000, 0.000, 0.000], [0.500, 0.500, 0.313], [0.500, 0.500, 0.687], [0.000, 0.000, 0.500]], "density_g_cm3": 6.569, "delta_e_f_mev_per_atom": -531, "sg": "P4/mmm (123)"}



(6)
{"formula": "EuAlPd2", "functional": "PBE", "state": "optimized geometry", "cell": [[3.174, 0.000, 0.000], [0.000, 3.174, 0.000], [0.000, 0.000, 7.359]], "species": ["Eu", "Al", "Pd", "Pd"], "frac_coords": [[0.000, 0.000, 0.000], [0.000, 0.000, 0.500], [0.500, 0.500, 0.306], [0.500, 0.500, 0.694]], "density_g_cm3": 8.777, "delta_e_f_mev_per_atom": -686, "sg": "P4/mmm (123)"}



(7)
{"formula": "PrEuAlPd", "functional": "PBE", "state": "optimized geometry", "cell": [[0.000, 3.712, 3.712], [3.712, 0.000, 3.712], [3.712, 3.712, 0.000]], "species": ["Pr", "Eu", "Al", "Pd"], "frac_coords": [[0.000, 0.000, 0.000], [0.500, 0.500, 0.500], [0.750, 0.750, 0.750], [0.250, 0.250, 0.250]], "density_g_cm3": 6.920, "delta_e_f_mev_per_atom": -408, "sg": "F-43m (216)"}



(8)
{"formula": "EuYAlPd", "functional": "PBE", "state": "optimized geometry", "cell": [[0.000, 3.640, 3.640], [3.640, 0.000, 3.640], [3.640, 3.640, 0.000]], "species": ["Eu", "Y", "Al", "Pd"], "frac_coords": [[0.000, 0.000, 0.000], [0.500, 0.500, 0.500], [0.250, 0.250, 0.250], [0.750, 0.750, 0.750]], "density_g_cm3": 6.445, "delta_e_f_mev_per_atom": -452, "sg": "F-43m (216)"}



Number 1: calculated total energy -23.906 eV for the cell shown. Number 2: calculated total energy -20.675 eV for the cell shown. Number 3: calculated total energy -25.565 eV for the cell shown. Number 4: calculated total energy -25.343 eV for the cell shown. Number 5: calculated total energy -25.074 eV for the cell shown. Number 6: calculated total energy -27.145 eV for the cell shown. Number 7: calculated total energy -25.623 eV for the cell shown. Number 8: calculated total energy -27.481 eV for the cell shown.